Record 1
The following is a DFT calculation (GGA-PBE) of an optimized crystal structure of AcPrTlPb.

a b c (Å): 4.888 4.612 6.654
angles (deg): 90.00 111.55 90.00
Atoms (fractional coordinates):
1 Pr 0.135 0.000 0.270
2 Ac 0.863 0.500 0.725
3 Tl 0.414 0.000 0.828
4 Pb 0.588 0.500 0.176

Results
- DFT formation energy (meV/atom) = -455
- SG = No. 38
- ΔE to the lowest computed polymorph (eV per atom) = 0.0000

Record 2
The following is a DFT calculation (GGA-PBE) of an optimized crystal structure of YAg2W.

a b c (Å): 3.463 3.463 6.660
angles (deg): 90.00 90.00 90.00
Site moments in Bohr magnetons follow the coordinates.
Atoms (fractional coordinates):
1 Y 0.500 0.500 0.749  0.00
2 Ag 0.500 0.500 0.254  0.01
3 Ag 0.000 0.000 0.030  0.00
4 W 0.000 0.000 0.467  0.25

Results
- DFT formation energy (meV/atom) = 455
- SG = No. 99
- ΔE to the lowest computed polymorph (eV per atom) = 0.0986